1.
Y2Er3ScBi2Os (PBE, relaxed); final energy = -6.359 eV per atom
1.0
4.189 0.000 0.000
0.000 7.055 4.124
0.000 -7.055 4.124
Y Er Sc Bi Os
2 3 1 2 1
Direct
0.000 0.115 0.885
0.000 0.885 0.115
0.500 0.291 0.291
0.500 0.500 0.880
0.500 0.880 0.500
0.000 0.645 0.645
0.000 0.220 0.552
0.000 0.552 0.220
0.500 0.845 0.845

***

2.
NbAl4Ir5 (PBE, relaxed); final energy = -7.830 eV per atom
1.0
2.967 0.000 0.000
0.000 2.967 0.000
0.000 0.000 16.156
Nb Al Ir
1 4 5
Direct
0.000 0.000 0.000
0.000 0.000 0.213
0.000 0.000 0.405
0.000 0.000 0.595
0.000 0.000 0.787
0.500 0.500 0.120
0.500 0.500 0.311
0.500 0.500 0.500
0.500 0.500 0.689
0.500 0.500 0.880

***

3.
Lu3B2Au (PBE, relaxed); final energy = -5.194 eV per atom
1.0
3.588 0.000 0.000
-1.794 3.107 0.000
0.000 0.000 20.993
Lu B Au
6 4 2
Direct
0.000 0.000 0.000
0.000 0.000 0.500
0.333 0.667 0.146
0.333 0.667 0.354
0.667 0.333 0.646
0.667 0.333 0.854
0.333 0.667 0.579
0.333 0.667 0.921
0.667 0.333 0.079
0.667 0.333 0.421
0.000 0.000 0.250
0.000 0.000 0.750

***

4.
LiLaFeTe (PBE, relaxed); distance to the lowest polymorph of the same formula = 0.0 kJ per mole of atoms
1.0
0.000 3.331 3.331
3.331 0.000 3.331
3.331 3.331 0.000
Li La Fe Te
1 1 1 1
Direct
0.000 0.000 0.000
0.250 0.250 0.250
0.500 0.500 0.500
0.750 0.750 0.750

***

5.
ReNi5 (PBE, relaxed); ΔE_f = 0.159 eV/atom; distance to the lowest polymorph of the same formula = 0.1 kJ per mole of atoms
1.0
4.586 0.000 0.000
-2.293 3.972 0.000
0.000 0.000 7.866
Re Ni
2 10
Direct
0.000 0.000 0.000
0.000 0.000 0.500
0.171 0.342 0.250
0.171 0.829 0.250
0.333 0.667 0.557
0.333 0.667 0.943
0.342 0.171 0.750
0.658 0.829 0.250
0.667 0.333 0.057
0.667 0.333 0.443
0.829 0.171 0.750
0.829 0.658 0.750

***

6.
TbSeClO3 (PBE, relaxed); final energy = -6.167 eV per atom
1.0
7.124 0.000 0.000
0.000 6.980 0.000
0.000 0.000 8.834
Tb Se Cl O
4 4 4 12
Direct
0.104 0.250 0.041
0.396 0.750 0.541
0.604 0.250 0.459
0.896 0.750 0.959
0.201 0.250 0.634
0.299 0.750 0.134
0.701 0.250 0.866
0.799 0.750 0.366
0.049 0.750 0.677
0.451 0.250 0.177
0.549 0.750 0.823
0.951 0.250 0.323
0.148 0.572 0.065
0.148 0.928 0.065
0.246 0.750 0.321
0.254 0.250 0.821
0.352 0.072 0.565
0.352 0.428 0.565
0.648 0.572 0.435
0.648 0.928 0.435
0.746 0.750 0.179
0.754 0.250 0.679
0.852 0.072 0.935
0.852 0.428 0.935

***

7.
CsScCuSe3 (PBE, relaxed); final energy = -4.684 eV per atom
1.0
9.521 0.000 0.000
0.000 3.906 0.000
-4.460 0.000 9.013
Cs Sc Cu Se
2 2 2 6
Direct
0.223 0.250 0.249
0.777 0.750 0.751
0.326 0.750 0.857
0.674 0.250 0.143
0.082 0.250 0.601
0.918 0.750 0.399
0.130 0.250 0.859
0.205 0.750 0.549
0.480 0.750 0.156
0.520 0.250 0.844
0.795 0.250 0.451
0.870 0.750 0.141

***

8.
PaAg (PBE, relaxed); ΔE_f = 0.169 eV/atom; distance to the lowest polymorph of the same formula = 0.0 kJ per mole of atoms
1.0
3.080 0.000 0.000
-1.540 2.668 0.000
0.000 0.000 5.357
Pa Ag
1 1
Direct
0.000 0.000 0.000
0.333 0.667 0.500